[1]
RbZnCd2Pt (PBE, optimized geometry); total energy = -2.277 eV per atom; crystal system = tetragonal; DOS(E_F) = 1.35 states/eV/f.u.; space group = P4/mmm (123); energy relative to the elements = -0.25 eV/atom
1.0
5.346 0.000 0.000
0.000 5.346 0.000
0.000 0.000 5.018
Rb Zn Cd Pt
1 1 2 1
direct
0.000 0.000 0.000
0.500 0.500 0.000
0.000 0.500 0.500
0.500 0.000 0.500
0.500 0.500 0.500

***

[2]
RbZn2CdPt (PBE, optimized geometry); total energy = -2.355 eV per atom; crystal system = tetragonal; DOS(E_F) = 1.27 states/eV/f.u.; space group = P4/mmm (123); energy relative to the elements = -0.26 eV/atom
1.0
5.012 0.000 0.000
0.000 5.012 0.000
0.000 0.000 5.330
Rb Zn Cd Pt
1 2 1 1
direct
0.000 0.000 0.000
0.000 0.500 0.500
0.500 0.000 0.500
0.500 0.500 0.000
0.500 0.500 0.500

***

[3]
Cd2RePt2 (PBE, optimized geometry); total energy = -4.828 eV per atom; crystal system = tetragonal; DOS(E_F) = 4.69 states/eV/f.u.; relative energy among the computed polymorphs = 0 meV/atom; space group = P4/mbm (127); energy relative to the elements = 0.44 eV/atom
1.0
7.845 0.000 0.000
0.000 7.845 0.000
0.000 0.000 2.855
Cd Re Pt
4 2 4
direct
0.126 0.374 0.000
0.374 0.874 0.000
0.626 0.126 0.000
0.874 0.626 0.000
0.000 0.000 0.000
0.500 0.500 0.000
0.174 0.674 0.500
0.326 0.174 0.500
0.674 0.826 0.500
0.826 0.326 0.500

***

[4]
Cd2RePt (PBE, optimized geometry); total energy = -4.955 eV per atom; crystal system = tetragonal; DOS(E_F) = 2.90 states/eV/f.u.; relative energy among the computed polymorphs = 0 meV/atom; space group = P4mm (99); energy relative to the elements = 0.12 eV/atom
1.0
2.857 0.000 0.000
0.000 2.857 0.000
0.000 0.000 8.708
Cd Re Pt
2 1 1
direct
0.000 0.000 0.000
0.500 0.500 0.289
0.500 0.500 0.749
0.000 0.000 0.543